# 1
Density functional theory data (SCAN) for a crystal of RbAlTeN2 relaxed with PBEsol.

a b c (Å): 4.3019 4.3019 5.3772
angles (deg): 90.00 90.00 90.00
Atoms (fractional coordinates):
Rb: 0.0000 0.0000 0.0000
Al: 0.5000 0.5000 0.5000
Te: 0.5000 0.5000 0.0000
N: 0.0000 0.5000 0.5000
N: 0.5000 0.0000 0.5000

density = 4.47 g cm⁻³
crystal system = tetragonal
E_form (uncorrected) = 68 kJ per mole of atoms
space-group type = P4/mmm (123)

***

# 2
Density functional theory data (SCAN) for a crystal of Al3RuN relaxed with PBEsol.

a b c (Å): 4.6531 4.6531 4.6531
angles (deg): 90.00 90.00 90.00
Atoms (fractional coordinates):
Al: 0.0000 0.0000 0.5000
Al: 0.0000 0.5000 0.0000
Al: 0.5000 0.0000 0.0000
Ru: 0.0000 0.0000 0.0000
N: 0.5000 0.5000 0.5000

density = 3.23 g cm⁻³
crystal system = cubic
E_form (uncorrected) = 74 kJ per mole of atoms
space-group type = Pm-3m (221)

***

# 3
Density functional theory data (SCAN) for a crystal of AlRuSN2 relaxed with PBEsol.

a b c (Å): 3.7227 3.7227 5.0292
angles (deg): 90.00 90.00 90.00
Atoms (fractional coordinates):
Al: 0.0000 0.0000 0.0000
Ru: 0.5000 0.5000 0.5000
S: 0.5000 0.5000 0.0000
N: 0.0000 0.5000 0.5000
N: 0.5000 0.0000 0.5000

density = 4.48 g cm⁻³
crystal system = tetragonal
E_form (uncorrected) = 56 kJ per mole of atoms
space-group type = P4/mmm (123)

***

# 4
Density functional theory data (SCAN) for a crystal of AlTe2RuN relaxed with PBEsol.

a b c (Å): 5.4082 5.4082 3.5938
angles (deg): 90.00 90.00 90.00
Atoms (fractional coordinates):
Al: 0.0000 0.0000 0.0000
Te: 0.0000 0.5000 0.5000
Te: 0.5000 0.0000 0.5000
Ru: 0.5000 0.5000 0.5000
N: 0.5000 0.5000 0.0000

density = 6.28 g cm⁻³
crystal system = tetragonal
E_form (uncorrected) = 28 kJ per mole of atoms
space-group type = P4/mmm (123)

***

# 5
Density functional theory data (SCAN) for a crystal of Ti2AlRuN relaxed with PBEsol.

a b c (Å): 4.5295 4.5295 4.5836
angles (deg): 90.00 90.00 90.00
Atoms (fractional coordinates):
Ti: 0.0000 0.5000 0.0000
Ti: 0.5000 0.0000 0.0000
Al: 0.0000 0.0000 0.5000
Ru: 0.0000 0.0000 0.0000
N: 0.5000 0.5000 0.5000

density = 4.20 g cm⁻³
crystal system = tetragonal
E_form (uncorrected) = 104 kJ per mole of atoms
space-group type = P4/mmm (123)

***

# 6
Density functional theory data (SCAN) for a crystal of AlS3N relaxed with PBEsol.

a b c (Å): 4.0652 4.0652 4.0652
angles (deg): 90.00 90.00 90.00
Atoms (fractional coordinates):
Al: 0.0000 0.0000 0.0000
S: 0.0000 0.5000 0.5000
S: 0.5000 0.0000 0.5000
S: 0.5000 0.5000 0.0000
N: 0.5000 0.5000 0.5000

density = 3.39 g cm⁻³
crystal system = cubic
E_form (uncorrected) = 89 kJ per mole of atoms
space-group type = Pm-3m (221)

***

# 7
Density functional theory data (SCAN) for a crystal of AlS2N relaxed with PBEsol.

a b c (Å): 4.1768 4.1768 4.1768
angles (deg): 60.00 60.00 60.00
Atoms (fractional coordinates):
Al: 0.0000 0.0000 0.0000
S: 0.2500 0.2500 0.2500
S: 0.7500 0.7500 0.7500
N: 0.5000 0.5000 0.5000

density = 3.39 g cm⁻³
crystal system = cubic
E_form (uncorrected) = 109 kJ per mole of atoms
space-group type = Fm-3m (225)

***

# 8
Density functional theory data (SCAN) for a crystal of AlSeSN2 relaxed with PBEsol.

a b c (Å): 3.5856 3.5856 6.1853
angles (deg): 90.00 90.00 90.00
Atoms (fractional coordinates):
Al: 0.0000 0.0000 0.0000
Se: 0.5000 0.5000 0.5000
S: 0.0000 0.0000 0.5000
N: 0.0000 0.5000 0.0000
N: 0.5000 0.0000 0.0000

density = 3.47 g cm⁻³
crystal system = tetragonal
E_form (uncorrected) = 78 kJ per mole of atoms
space-group type = P4/mmm (123)

***

# 9
Density functional theory data (SCAN) for a crystal of AlSbSeN2 relaxed with PBEsol.

a b c (Å): 3.9451 3.9451 5.5538
angles (deg): 90.00 90.00 90.00
Atoms (fractional coordinates):
Al: 0.0000 0.0000 0.0000
Sb: 0.5000 0.5000 0.5000
Se: 0.5000 0.5000 0.0000
N: 0.0000 0.5000 0.5000
N: 0.5000 0.0000 0.5000

density = 4.91 g cm⁻³
crystal system = tetragonal
E_form (uncorrected) = 103 kJ per mole of atoms
space-group type = P4/mmm (123)

***

# 10
Density functional theory data (SCAN) for a crystal of AlSbSeN2 relaxed with PBEsol.

a b c (Å): 3.8471 3.8471 5.0913
angles (deg): 90.00 90.00 90.00
Atoms (fractional coordinates):
Al: 0.0000 0.0000 0.0000
Sb: 0.5000 0.5000 0.5000
Se: 0.0000 0.0000 0.5000
N: 0.0000 0.5000 0.0000
N: 0.5000 0.0000 0.0000

density = 5.64 g cm⁻³
crystal system = tetragonal
E_form (uncorrected) = 63 kJ per mole of atoms
space-group type = P4/mmm (123)

***

# 11
Density functional theory data (SCAN) for a crystal of AlSbSe2N relaxed with PBEsol.

a b c (Å): 5.2747 5.2747 3.8978
angles (deg): 90.00 90.00 90.00
Atoms (fractional coordinates):
Al: 0.0000 0.0000 0.0000
Sb: 0.5000 0.5000 0.5000
Se: 0.0000 0.5000 0.5000
Se: 0.5000 0.0000 0.5000
N: 0.5000 0.5000 0.0000

density = 4.91 g cm⁻³
crystal system = tetragonal
E_form (uncorrected) = 75 kJ per mole of atoms
space-group type = P4/mmm (123)

***

# 12
Density functional theory data (SCAN) for a crystal of ScAl3N relaxed with PBEsol.

a b c (Å): 4.1866 4.1866 4.1866
angles (deg): 90.00 90.00 90.00
Atoms (fractional coordinates):
Sc: 0.0000 0.0000 0.0000
Al: 0.0000 0.5000 0.5000
Al: 0.5000 0.0000 0.5000
Al: 0.5000 0.5000 0.0000
N: 0.5000 0.5000 0.5000

density = 3.17 g cm⁻³
crystal system = cubic
E_form (uncorrected) = -8 kJ per mole of atoms
space-group type = Pm-3m (221)

***

# 13
Density functional theory data (SCAN) for a crystal of ScAl3N relaxed with PBEsol.

a b c (Å): 5.3143 5.3143 5.3143
angles (deg): 90.00 90.00 90.00
Atoms (fractional coordinates):
Sc: 0.0000 0.0000 0.0000
Al: 0.0000 0.0000 0.5000
Al: 0.0000 0.5000 0.0000
Al: 0.5000 0.0000 0.0000
N: 0.5000 0.5000 0.5000

density = 1.55 g cm⁻³
crystal system = cubic
E_form (uncorrected) = 188 kJ per mole of atoms
space-group type = Pm-3m (221)

***

# 14
Density functional theory data (SCAN) for a crystal of ScAlTe2N relaxed with PBEsol.

a b c (Å): 5.4949 5.4949 3.5090
angles (deg): 90.00 90.00 90.00
Atoms (fractional coordinates):
Sc: 0.0000 0.0000 0.0000
Al: 0.5000 0.5000 0.5000
Te: 0.0000 0.5000 0.5000
Te: 0.5000 0.0000 0.5000
N: 0.5000 0.5000 0.0000

density = 5.35 g cm⁻³
crystal system = tetragonal
E_form (uncorrected) = -21 kJ per mole of atoms
space-group type = P4/mmm (123)

***

# 15
Density functional theory data (SCAN) for a crystal of AlSeN2 relaxed with PBEsol.

a b c (Å): 5.8130 5.8130 5.8130
angles (deg): 133.09 133.09 68.51
Atoms (fractional coordinates):
Al: 0.0000 0.0000 0.0000
Al: 0.7500 0.2500 0.5000
Se: 0.2500 0.7500 0.5000
Se: 0.5000 0.5000 0.0000
N: 0.0715 0.6250 0.9465
N: 0.3750 0.3215 0.4465
N: 0.6785 0.1250 0.0535
N: 0.8750 0.9285 0.5535

density = 4.32 g cm⁻³
crystal system = tetragonal
E_form (uncorrected) = 24 kJ per mole of atoms
space-group type = I-42d (122)

***

# 16
Density functional theory data (SCAN) for a crystal of AlTcSeN2 relaxed with PBEsol.

a b c (Å): 3.7841 3.7841 5.2325
angles (deg): 90.00 90.00 90.00
Atoms (fractional coordinates):
Al: 0.0000 0.0000 0.0000
Tc: 0.5000 0.5000 0.5000
Se: 0.5000 0.5000 0.0000
N: 0.0000 0.5000 0.5000
N: 0.5000 0.0000 0.5000

density = 5.14 g cm⁻³
crystal system = tetragonal
E_form (uncorrected) = 37 kJ per mole of atoms
space-group type = P4/mmm (123)

***

# 17
Density functional theory data (SCAN) for a crystal of AlTeSe2N relaxed with PBEsol.

a b c (Å): 5.0886 5.0886 3.5766
angles (deg): 90.00 90.00 90.00
Atoms (fractional coordinates):
Al: 0.0000 0.0000 0.0000
Te: 0.5000 0.5000 0.5000
Se: 0.0000 0.5000 0.0000
Se: 0.5000 0.0000 0.0000
N: 0.0000 0.0000 0.5000

density = 5.85 g cm⁻³
crystal system = tetragonal
E_form (uncorrected) = 17 kJ per mole of atoms
space-group type = P4/mmm (123)

***

# 18
Density functional theory data (SCAN) for a crystal of AlZnSeN2 relaxed with PBEsol.

a b c (Å): 3.6527 3.6527 5.5667
angles (deg): 90.00 90.00 90.00
Atoms (fractional coordinates):
Al: 0.0000 0.0000 0.0000
Zn: 0.5000 0.5000 0.5000
Se: 0.0000 0.0000 0.5000
N: 0.0000 0.5000 0.0000
N: 0.5000 0.0000 0.0000

density = 4.46 g cm⁻³
crystal system = tetragonal
E_form (uncorrected) = 47 kJ per mole of atoms
space-group type = P4/mmm (123)

***

# 19
Density functional theory data (SCAN) for a crystal of ZrAlSe2N relaxed with PBEsol.

a b c (Å): 4.9315 4.9315 3.5284
angles (deg): 90.00 90.00 90.00
Atoms (fractional coordinates):
Zr: 0.0000 0.0000 0.0000
Al: 0.5000 0.5000 0.5000
Se: 0.0000 0.5000 0.5000
Se: 0.5000 0.0000 0.5000
N: 0.5000 0.5000 0.0000

density = 5.61 g cm⁻³
crystal system = tetragonal
E_form (uncorrected) = -33 kJ per mole of atoms
space-group type = P4/mmm (123)

***

# 20
Density functional theory data (SCAN) for a crystal of ZrAlSe2N relaxed with PBEsol.

a b c (Å): 5.2705 5.2705 3.9356
angles (deg): 90.00 90.00 90.00
Atoms (fractional coordinates):
Zr: 0.0000 0.0000 0.0000
Al: 0.5000 0.5000 0.5000
Se: 0.0000 0.5000 0.0000
Se: 0.5000 0.0000 0.0000
N: 0.0000 0.0000 0.5000

density = 4.41 g cm⁻³
crystal system = tetragonal
E_form (uncorrected) = -15 kJ per mole of atoms
space-group type = P4/mmm (123)

***

# 21
Density functional theory data (SCAN) for a crystal of Sm3AlN relaxed with PBEsol.

a b c (Å): 4.8544 4.8544 4.8544
angles (deg): 90.00 90.00 90.00
Atoms (fractional coordinates):
Sm: 0.0000 0.0000 0.5000
Sm: 0.0000 0.5000 0.0000
Sm: 0.5000 0.0000 0.0000
Al: 0.5000 0.5000 0.5000
N: 0.0000 0.0000 0.0000

density = 7.14 g cm⁻³
crystal system = cubic
E_form (uncorrected) = -93 kJ per mole of atoms
space-group type = Pm-3m (221)

***

# 22
Density functional theory data (SCAN) for a crystal of SrAl3N relaxed with PBEsol.

a b c (Å): 5.9880 5.9880 5.9880
angles (deg): 90.00 90.00 90.00
Atoms (fractional coordinates):
Sr: 0.0000 0.0000 0.0000
Al: 0.0000 0.0000 0.5000
Al: 0.0000 0.5000 0.0000
Al: 0.5000 0.0000 0.0000
N: 0.5000 0.5000 0.5000

density = 1.41 g cm⁻³
crystal system = cubic
E_form (uncorrected) = 225 kJ per mole of atoms
space-group type = Pm-3m (221)

***

# 23
Density functional theory data (SCAN) for a crystal of Tb3AlN relaxed with PBEsol.

a b c (Å): 4.7447 4.7447 4.7447
angles (deg): 90.00 90.00 90.00
Atoms (fractional coordinates):
Tb: 0.0000 0.0000 0.5000
Tb: 0.0000 0.5000 0.0000
Tb: 0.5000 0.0000 0.0000
Al: 0.5000 0.5000 0.5000
N: 0.0000 0.0000 0.0000

density = 8.05 g cm⁻³
crystal system = cubic
E_form (uncorrected) = -100 kJ per mole of atoms
space-group type = Pm-3m (221)

***

# 24
Density functional theory data (SCAN) for a crystal of AlTe2N2 relaxed with PBEsol.

a b c (Å): 4.0208 4.0208 5.8171
angles (deg): 90.00 90.00 90.00
Atoms (fractional coordinates):
Al: 0.0000 0.0000 0.0000
Te: 0.0000 0.0000 0.5000
Te: 0.5000 0.5000 0.5000
N: 0.0000 0.5000 0.0000
N: 0.5000 0.0000 0.0000

density = 5.48 g cm⁻³
crystal system = tetragonal
E_form (uncorrected) = 76 kJ per mole of atoms
space-group type = P4/mmm (123)

***

# 25
Density functional theory data (SCAN) for a crystal of AlTeN2 relaxed with PBEsol.

a b c (Å): 6.2833 6.2833 6.2833
angles (deg): 28.60 28.60 28.60
Atoms (fractional coordinates):
Al: 0.0000 0.0000 0.0000
Te: 0.5000 0.5000 0.5000
N: 0.3869 0.3869 0.3869
N: 0.6131 0.6131 0.6131

density = 6.03 g cm⁻³
crystal system = trigonal
E_form (uncorrected) = -12 kJ per mole of atoms
space-group type = R-3m (166)

***

# 26
Density functional theory data (SCAN) for a crystal of AlTeN2 relaxed with PBEsol.

a b c (Å): 6.2553 6.2553 6.2553
angles (deg): 31.95 31.95 31.95
Atoms (fractional coordinates):
Al: 0.0000 0.0000 0.0000
Te: 0.5000 0.5000 0.5000
N: 0.1024 0.1024 0.1024
N: 0.8976 0.8976 0.8976

density = 4.98 g cm⁻³
crystal system = trigonal
E_form (uncorrected) = 60 kJ per mole of atoms
space-group type = R-3m (166)

***

# 27
Density functional theory data (SCAN) for a crystal of AlTeN2 relaxed with PBEsol.

a b c (Å): 5.6399 5.6399 5.6399
angles (deg): 126.63 126.63 78.85
Atoms (fractional coordinates):
Al: 0.0000 0.0000 0.0000
Al: 0.7500 0.2500 0.5000
Te: 0.2500 0.7500 0.5000
Te: 0.5000 0.5000 0.0000
N: 0.0447 0.6250 0.9197
N: 0.3750 0.2947 0.4197
N: 0.7053 0.1250 0.0803
N: 0.8750 0.9553 0.5803

density = 5.42 g cm⁻³
crystal system = tetragonal
E_form (uncorrected) = 6 kJ per mole of atoms
space-group type = I-42d (122)

***

# 28
Density functional theory data (SCAN) for a crystal of TiAlTe2N relaxed with PBEsol.

a b c (Å): 5.4593 5.4593 3.4556
angles (deg): 90.00 90.00 90.00
Atoms (fractional coordinates):
Ti: 0.0000 0.0000 0.0000
Al: 0.5000 0.5000 0.5000
Te: 0.0000 0.5000 0.5000
Te: 0.5000 0.0000 0.5000
N: 0.5000 0.5000 0.0000

density = 5.55 g cm⁻³
crystal system = tetragonal
E_form (uncorrected) = 10 kJ per mole of atoms
space-group type = P4/mmm (123)

***

# 29
Density functional theory data (SCAN) for a crystal of AlTe2WN relaxed with PBEsol.

a b c (Å): 5.3557 5.3557 3.4238
angles (deg): 90.00 90.00 90.00
Atoms (fractional coordinates):
Al: 0.0000 0.0000 0.0000
Te: 0.0000 0.5000 0.0000
Te: 0.5000 0.0000 0.0000
W: 0.5000 0.5000 0.5000
N: 0.0000 0.0000 0.5000

density = 8.12 g cm⁻³
crystal system = tetragonal
E_form (uncorrected) = 91 kJ per mole of atoms
space-group type = P4/mmm (123)